[1]
Below is a relaxed CaPm3Zn8 crystal, with properties calculated at the PBE-GGA level.

Results
SG: P3m1
Total energy (eV/f.u.): -30.0
Calculated formation energy (kJ/mol of formula units): -343
Fermi-level density of states (states/eV per atom): 0.63
Total magnetic moment (μB per atom): 0.00
Energy above the most stable polymorph in this dataset (eV/atom): 0.011

a b c (Å): 5.6474 5.6474 8.7702
angles (deg): 90.00 90.00 120.00
Positions (direct):
Pm (0.6667, 0.3333, 0.0519)
Pm (0.6667, 0.3333, 0.4427)
Pm (0.0000, 0.0000, 0.9484)
Zn (0.4982, 0.5018, 0.7494)
Zn (0.0037, 0.5018, 0.7494)
Zn (0.3333, 0.6667, 0.9984)
Zn (0.1679, 0.3359, 0.2506)
Zn (0.6641, 0.8321, 0.2506)
Zn (0.3333, 0.6667, 0.4980)
Zn (0.4982, 0.9963, 0.7494)
Zn (0.1679, 0.8321, 0.2506)
Ca (0.0000, 0.0000, 0.5605)



[2]
Below is a relaxed TcTePb2 crystal, with properties calculated at the PBE-GGA level.

Results
SG: I4/mmm
Formation energy without anion corrections (kcal/mol of atoms): 14.49
Total energy (eV/f.u.): -18.4
Fermi-level density of states (states/eV per atom): 0.63
Total magnetic moment (μB per atom): 0.60

a b c (Å): 5.9932 5.9932 5.9932
angles (deg): 135.91 135.91 64.12
Site moments in Bohr magnetons follow the coordinates.
Positions (direct):
Tc (0.2500, 0.7500, 0.5000)  2.28
Pb (0.0000, 0.0000, 0.0000)  -0.04
Pb (0.5000, 0.5000, 0.0000)  -0.04
Te (0.7500, 0.2500, 0.5000)  -0.03



[3]
Below is a relaxed Ca2HoPuSe4 crystal, with properties calculated at the PBE-GGA level.

Results
SG: P2/m
Formation energy without anion corrections (kcal/mol of atoms): -41.44
Total energy (eV/f.u.): -51.2
Fermi-level density of states (states/eV per atom): 1.57
Total magnetic moment (μB per atom): 0.75

a b c (Å): 4.1374 7.1719 7.2449
angles (deg): 109.28 90.00 90.00
Site moments in Bohr magnetons follow the coordinates.
Positions (direct):
Se (0.0000, 0.2462, 0.7522)  0.04
Se (0.5000, 0.2431, 0.2454)  0.01
Se (0.5000, 0.7569, 0.7546)  0.01
Se (0.0000, 0.7538, 0.2478)  0.04
Pu (0.5000, 0.5000, 0.0000)  -5.49
Ca (0.0000, 0.5000, 0.5000)  -0.02
Ca (0.5000, 0.0000, 0.5000)  -0.02
Ho (0.0000, 0.0000, 0.0000)  -0.10



[4]
Below is a relaxed Pu6ZrPa12 crystal, with properties calculated at the PBE-GGA level.

Results
SG: R-3m
Total energy (eV/f.u.): -202.2
Calculated formation energy (kJ/mol of formula units): 603
Fermi-level density of states (states/eV per atom): 2.10
Total magnetic moment (μB per atom): 1.38

a b c (Å): 8.1751 8.1751 8.1751
angles (deg): 106.52 106.52 106.52
Site moments in Bohr magnetons follow the coordinates.
Positions (direct):
Pu (0.2724, 0.7291, 0.2724)  4.29
Pu (0.7276, 0.2709, 0.7276)  4.29
Pu (0.2724, 0.2724, 0.7291)  4.29
Pu (0.7291, 0.2724, 0.2724)  4.29
Pu (0.2709, 0.7276, 0.7276)  4.29
Pu (0.7276, 0.7276, 0.2709)  4.29
Pa (0.1654, 0.4192, 0.4192)  0.06
Pa (0.4192, 0.4192, 0.1654)  0.06
Pa (0.4192, 0.1654, 0.4192)  0.06
Pa (0.5000, 0.8827, 0.1173)  0.26
Pa (0.5808, 0.8346, 0.5808)  0.06
Pa (0.5808, 0.5808, 0.8346)  0.06
Pa (0.5000, 0.1173, 0.8827)  0.26
Pa (0.8346, 0.5808, 0.5808)  0.06
Pa (0.8827, 0.1173, 0.5000)  0.26
Pa (0.1173, 0.5000, 0.8827)  0.26
Pa (0.1173, 0.8827, 0.5000)  0.26
Pa (0.8827, 0.5000, 0.1173)  0.26
Zr (0.0000, 0.0000, 0.0000)  -0.42



[5]
Below is a relaxed ZrCr2Se crystal, with properties calculated at the PBE-GGA level.

Results
SG: Pm
Formation energy without anion corrections (kcal/mol of atoms): -2.00
Total energy (eV/f.u.): -31.6
Fermi-level density of states (states/eV per atom): 0.88
Total magnetic moment (μB per atom): 0.22

a b c (Å): 3.3856 3.3391 6.4951
angles (deg): 75.10 90.00 90.00
Site moments in Bohr magnetons follow the coordinates.
Positions (direct):
Zr (0.5000, 0.6936, 0.7367)  -0.19
Se (0.0000, 0.2963, 0.5308)  0.04
Cr (0.0000, 0.0528, 0.0204)  2.48
Cr (0.5000, 0.4573, 0.2121)  -3.04



[6]
Below is a relaxed PmH3Pd3 crystal, with properties calculated at the PBE-GGA level.

Results
SG: Pm-3n
Total energy (eV/f.u.): -33.9
Fermi-level density of states (states/eV per atom): 0.01
Total magnetic moment (μB per atom): 0.00
Energy above the most stable polymorph in this dataset (eV/atom): 0.000

a b c (Å): 5.5273 5.5273 5.5273
angles (deg): 90.00 90.00 90.00
Positions (direct):
Pd (0.2500, 0.5000, 0.0000)
Pd (0.7500, 0.5000, 0.0000)
Pd (0.5000, 0.0000, 0.2500)
Pd (0.5000, 0.0000, 0.7500)
Pd (0.0000, 0.2500, 0.5000)
Pd (0.0000, 0.7500, 0.5000)
H (0.7500, 0.0000, 0.5000)
H (0.5000, 0.7500, 0.0000)
H (0.5000, 0.2500, 0.0000)
H (0.0000, 0.5000, 0.7500)
H (0.2500, 0.0000, 0.5000)
H (0.0000, 0.5000, 0.2500)
Pm (0.5000, 0.5000, 0.5000)
Pm (0.0000, 0.0000, 0.0000)